[1]
Entry from Alexandria: crystalline Ho6ThAl at its relaxed geometry (PBE).

CIF file:
```
data_Ho6ThAl
_symmetry_space_group_name_H-M 'P 4/m m m'
_symmetry_Int_Tables_number 123
_symmetry_space_group_name_Hall '-P 4 2'
_cell_length_a 4.8668
_cell_length_b 4.8668
_cell_length_c 9.7987
_cell_angle_alpha 90.00
_cell_angle_beta 90.00
_cell_angle_gamma 90.00
loop_
_atom_site_label
_atom_site_fract_x
_atom_site_fract_y
_atom_site_fract_z
Ho1 0.0000 0.0000 0.0000
Ho2 0.0000 0.0000 0.5000
Ho3 0.0000 0.5000 0.2400
Th1 0.5000 0.5000 0.5000
Al1 0.5000 0.5000 0.0000
```

Properties
* DOS(E_F): 13.03 states/eV/f.u.
* theoretical density: 8.93 Mg/m³
* energy relative to the elements: -0.04 eV/atom

***

[2]
Entry from Alexandria: crystalline HoThAl at its relaxed geometry (PBE).

CIF file:
```
data_HoThAl
_symmetry_space_group_name_H-M 'I 4 m m'
_symmetry_Int_Tables_number 107
_symmetry_space_group_name_Hall 'I 4 -2'
_cell_length_a 3.4677
_cell_length_b 3.4677
_cell_length_c 13.5802
_cell_angle_alpha 90.00
_cell_angle_beta 90.00
_cell_angle_gamma 90.00
loop_
_atom_site_label
_atom_site_fract_x
_atom_site_fract_y
_atom_site_fract_z
Ho1 0.0000 0.0000 0.0000
Th1 0.0000 0.0000 0.7026
Al1 0.0000 0.0000 0.3569
```

Properties
* DOS(E_F): 3.17 states/eV/f.u.
* theoretical density: 8.62 Mg/m³
* energy relative to the elements: -0.17 eV/atom

***

[3]
Entry from Alexandria: crystalline HoThAl at its relaxed geometry (PBE).

CIF file:
```
data_HoThAl
_symmetry_space_group_name_H-M 'P 3 m 1'
_symmetry_Int_Tables_number 156
_cell_length_a 5.1124
_cell_length_b 5.1124
_cell_length_c 3.6132
_cell_angle_alpha 90.00
_cell_angle_beta 90.00
_cell_angle_gamma 120.00
loop_
_symmetry_equiv_pos_as_xyz
'x,y,z'
'-y,x-y,z'
'-x+y,-x,z'
'-y,-x,z'
'-x+y,y,z'
'x,x-y,z'
loop_
_atom_site_label
_atom_site_fract_x
_atom_site_fract_y
_atom_site_fract_z
Ho1 0.0000 0.0000 0.0000
Th1 0.3333 0.6667 0.5536
Al1 0.6667 0.3333 0.1968
```

Properties
* DOS(E_F): 3.47 states/eV/f.u.
* theoretical density: 8.61 Mg/m³
* energy relative to the elements: -0.03 eV/atom

***

[4]
Entry from Alexandria: crystalline Ho2ThAl at its relaxed geometry (PBE).

CIF file:
```
data_Ho2ThAl
_symmetry_space_group_name_H-M 'R 3 m'
_symmetry_Int_Tables_number 160
_symmetry_space_group_name_Hall 'R 3 -2"'
_cell_length_a 3.5362
_cell_length_b 3.5362
_cell_length_c 31.5701
_cell_angle_alpha 90.00
_cell_angle_beta 90.00
_cell_angle_gamma 120.00
loop_
_atom_site_label
_atom_site_fract_x
_atom_site_fract_y
_atom_site_fract_z
Ho1 0.0000 0.0000 0.0000
Ho2 0.0000 0.0000 0.1879
Th1 0.0000 0.0000 0.4275
Al1 0.0000 0.0000 0.5936
```

Properties
* DOS(E_F): 6.44 states/eV/f.u.
* theoretical density: 8.58 Mg/m³
* energy relative to the elements: -0.04 eV/atom

***

[5]
Entry from Alexandria: crystalline Ho8Th2Al at its relaxed geometry (PBE).

CIF file:
```
data_Ho8Th2Al
_symmetry_space_group_name_H-M 'C 1 2/m 1'
_symmetry_Int_Tables_number 12
_cell_length_a 18.3087
_cell_length_b 6.6972
_cell_length_c 5.6936
_cell_angle_alpha 90.00
_cell_angle_beta 92.18
_cell_angle_gamma 90.00
loop_
_symmetry_equiv_pos_as_xyz
'x,y,z'
'-x,-y,-z'
'-x,y,-z'
'x,-y,z'
'x+1/2,y+1/2,z'
'-x+1/2,-y+1/2,-z'
'-x+1/2,y+1/2,-z'
'x+1/2,-y+1/2,z'
loop_
_atom_site_label
_atom_site_fract_x
_atom_site_fract_y
_atom_site_fract_z
Ho1 0.0498 0.0000 0.2335
Ho2 0.1217 0.2397 0.7474
Ho3 0.1665 0.5000 0.2296
Th1 0.2229 0.0000 0.2678
Al1 0.0000 0.5000 0.0000
```

Properties
* DOS(E_F): 14.87 states/eV/f.u.
* theoretical density: 8.62 Mg/m³
* energy relative to the elements: 0.14 eV/atom

***

[6]
Entry from Alexandria: crystalline Ho2ThAl9 at its relaxed geometry (PBE).

CIF file:
```
data_Ho2ThAl9
_symmetry_space_group_name_H-M 'R -3 m'
_symmetry_Int_Tables_number 166
_symmetry_space_group_name_Hall '-R 3 2"'
_cell_length_a 5.5824
_cell_length_b 5.5824
_cell_length_c 26.2907
_cell_angle_alpha 90.00
_cell_angle_beta 90.00
_cell_angle_gamma 120.00
loop_
_atom_site_label
_atom_site_fract_x
_atom_site_fract_y
_atom_site_fract_z
Ho1 0.0000 0.0000 0.1412
Th1 0.0000 0.0000 0.0000
Al1 0.0000 0.0000 0.3351
Al2 0.0000 0.0000 0.5000
Al3 0.0070 0.5035 0.9163
```

Properties
* DOS(E_F): 6.49 states/eV/f.u.
* theoretical density: 5.65 Mg/m³
* energy relative to the elements: -0.38 eV/atom

***

[7]
Entry from Alexandria: crystalline Ho2ThAl at its relaxed geometry (PBE).

CIF file:
```
data_Ho2ThAl
_symmetry_space_group_name_H-M 'P 4/m m m'
_symmetry_Int_Tables_number 123
_symmetry_space_group_name_Hall '-P 4 2'
_cell_length_a 3.5110
_cell_length_b 3.5110
_cell_length_c 8.8656
_cell_angle_alpha 90.00
_cell_angle_beta 90.00
_cell_angle_gamma 90.00
loop_
_atom_site_label
_atom_site_fract_x
_atom_site_fract_y
_atom_site_fract_z
Ho1 0.0000 0.0000 0.2175
Th1 0.5000 0.5000 0.5000
Al1 0.5000 0.5000 0.0000
```

Properties
* DOS(E_F): 3.98 states/eV/f.u.
* theoretical density: 8.95 Mg/m³
* energy relative to the elements: -0.19 eV/atom

***

[8]
Entry from Alexandria: crystalline HoTh2Al4 at its relaxed geometry (PBE).

CIF file:
```
data_HoTh2Al4
_symmetry_space_group_name_H-M 'I 4/m m m'
_symmetry_Int_Tables_number 139
_symmetry_space_group_name_Hall '-I 4 2'
_cell_length_a 5.1327
_cell_length_b 5.1327
_cell_length_c 15.6539
_cell_angle_alpha 90.00
_cell_angle_beta 90.00
_cell_angle_gamma 90.00
loop_
_atom_site_label
_atom_site_fract_x
_atom_site_fract_y
_atom_site_fract_z
Ho1 0.0000 0.0000 0.0000
Th1 0.0000 0.0000 0.3790
Al1 0.0000 0.0000 0.1805
Al2 0.0000 0.5000 0.0000
```

Properties
* DOS(E_F): 7.41 states/eV/f.u.
* theoretical density: 5.93 Mg/m³
* energy relative to the elements: 0.43 eV/atom

***

[9]
Entry from Alexandria: crystalline HoThAl2 at its relaxed geometry (PBE).

CIF file:
```
data_HoThAl2
_symmetry_space_group_name_H-M 'P 4/m m m'
_symmetry_Int_Tables_number 123
_symmetry_space_group_name_Hall '-P 4 2'
_cell_length_a 3.4376
_cell_length_b 3.4376
_cell_length_c 8.2204
_cell_angle_alpha 90.00
_cell_angle_beta 90.00
_cell_angle_gamma 90.00
loop_
_atom_site_label
_atom_site_fract_x
_atom_site_fract_y
_atom_site_fract_z
Ho1 0.0000 0.0000 0.0000
Th1 0.0000 0.0000 0.5000
Al1 0.5000 0.5000 0.2387
```

Properties
* DOS(E_F): 2.56 states/eV/f.u.
* theoretical density: 7.71 Mg/m³
* energy relative to the elements: -0.32 eV/atom

***

[10]
Entry from Alexandria: crystalline HoThAl2 at its relaxed geometry (PBE).

CIF file:
```
data_HoThAl2
_symmetry_space_group_name_H-M 'P m c 21'
_symmetry_Int_Tables_number 26
_cell_length_a 4.1789
_cell_length_b 5.9965
_cell_length_c 8.2928
_cell_angle_alpha 90.00
_cell_angle_beta 90.00
_cell_angle_gamma 90.00
loop_
_symmetry_equiv_pos_as_xyz
'x,y,z'
'-x,-y,z+1/2'
'-x,y,z'
'x,-y,z+1/2'
loop_
_atom_site_label
_atom_site_fract_x
_atom_site_fract_y
_atom_site_fract_z
Ho1 0.0000 0.1337 0.0000
Th1 0.5000 0.3658 0.3575
Al1 0.0000 0.3743 0.6439
Al2 0.5000 0.1231 0.7141
```

Properties
* DOS(E_F): 4.08 states/eV/f.u.
* theoretical density: 7.21 Mg/m³
* energy relative to the elements: -0.34 eV/atom

***

[11]
Entry from Alexandria: crystalline Ho3ThAl8 at its relaxed geometry (PBE).

CIF file:
```
data_Ho3ThAl8
_symmetry_space_group_name_H-M 'P 3 m 1'
_symmetry_Int_Tables_number 156
_cell_length_a 5.5581
_cell_length_b 5.5581
_cell_length_c 9.2282
_cell_angle_alpha 90.00
_cell_angle_beta 90.00
_cell_angle_gamma 120.00
loop_
_symmetry_equiv_pos_as_xyz
'x,y,z'
'-y,x-y,z'
'-x+y,-x,z'
'-y,-x,z'
'-x+y,y,z'
'x,x-y,z'
loop_
_atom_site_label
_atom_site_fract_x
_atom_site_fract_y
_atom_site_fract_z
Ho1 0.0000 0.0000 0.0000
Ho2 0.0000 0.0000 0.3651
Ho3 0.3333 0.6667 0.8669
Th1 0.3333 0.6667 0.5006
Al1 0.0079 0.5040 0.1819
Al2 0.3261 0.1631 0.6875
Al3 0.6667 0.3333 0.4309
Al4 0.6667 0.3333 0.9377
```

Properties
* DOS(E_F): 8.04 states/eV/f.u.
* theoretical density: 6.34 Mg/m³
* energy relative to the elements: -0.47 eV/atom

***

[12]
Entry from Alexandria: crystalline Ho5ThAl4 at its relaxed geometry (PBE).

CIF file:
```
data_Ho5ThAl4
_symmetry_space_group_name_H-M 'P 4/m m m'
_symmetry_Int_Tables_number 123
_symmetry_space_group_name_Hall '-P 4 2'
_cell_length_a 3.5420
_cell_length_b 3.5420
_cell_length_c 19.6510
_cell_angle_alpha 90.00
_cell_angle_beta 90.00
_cell_angle_gamma 90.00
loop_
_atom_site_label
_atom_site_fract_x
_atom_site_fract_y
_atom_site_fract_z
Ho1 0.0000 0.0000 0.0000
Ho2 0.0000 0.0000 0.1862
Ho3 0.0000 0.0000 0.3742
Th1 0.5000 0.5000 0.5000
Al1 0.5000 0.5000 0.0932
Al2 0.5000 0.5000 0.2802
```

Properties
* DOS(E_F): 7.25 states/eV/f.u.
* theoretical density: 7.84 Mg/m³
* energy relative to the elements: -0.31 eV/atom

***

[13]
Entry from Alexandria: crystalline HoThAl2 at its relaxed geometry (PBE).

CIF file:
```
data_HoThAl2
_symmetry_space_group_name_H-M 'F m -3 m'
_symmetry_Int_Tables_number 225
_symmetry_space_group_name_Hall '-F 4 2 3'
_cell_length_a 7.3275
_cell_length_b 7.3275
_cell_length_c 7.3275
_cell_angle_alpha 90.00
_cell_angle_beta 90.00
_cell_angle_gamma 90.00
loop_
_atom_site_label
_atom_site_fract_x
_atom_site_fract_y
_atom_site_fract_z
Ho1 0.0000 0.0000 0.0000
Th1 0.0000 0.0000 0.5000
Al1 0.2500 0.2500 0.2500
```

Properties
* DOS(E_F): 3.15 states/eV/f.u.
* theoretical density: 7.61 Mg/m³
* energy relative to the elements: -0.28 eV/atom

***

[14]
Entry from Alexandria: crystalline Ho2ThAl6 at its relaxed geometry (PBE).

CIF file:
```
data_Ho2ThAl6
_symmetry_space_group_name_H-M 'P 6/m m m'
_symmetry_Int_Tables_number 191
_symmetry_space_group_name_Hall '-P 6 2'
_cell_length_a 7.9002
_cell_length_b 7.9002
_cell_length_c 3.5920
_cell_angle_alpha 90.00
_cell_angle_beta 90.00
_cell_angle_gamma 120.00
loop_
_atom_site_label
_atom_site_fract_x
_atom_site_fract_y
_atom_site_fract_z
Ho1 0.3333 0.6667 0.0000
Th1 0.0000 0.0000 0.0000
Al1 0.0000 0.3352 0.5000
```

Properties
* DOS(E_F): 3.70 states/eV/f.u.
* theoretical density: 6.19 Mg/m³
* energy relative to the elements: -0.45 eV/atom

***

[15]
Entry from Alexandria: crystalline Ho2ThAl at its relaxed geometry (PBE).

CIF file:
```
data_Ho2ThAl
_symmetry_space_group_name_H-M 'R -3 m'
_symmetry_Int_Tables_number 166
_symmetry_space_group_name_Hall '-R 3 2"'
_cell_length_a 3.4158
_cell_length_b 3.4158
_cell_length_c 34.3166
_cell_angle_alpha 90.00
_cell_angle_beta 90.00
_cell_angle_gamma 120.00
loop_
_atom_site_label
_atom_site_fract_x
_atom_site_fract_y
_atom_site_fract_z
Ho1 0.0000 0.0000 0.0997
Th1 0.0000 0.0000 0.0000
Al1 0.0000 0.0000 0.5000
```

Properties
* DOS(E_F): 4.11 states/eV/f.u.
* theoretical density: 8.46 Mg/m³
* energy relative to the elements: 0.10 eV/atom

***

[16]
Entry from Alexandria: crystalline HoTh2Al6 at its relaxed geometry (PBE).

CIF file:
```
data_HoTh2Al6
_symmetry_space_group_name_H-M 'P 6/m m m'
_symmetry_Int_Tables_number 191
_symmetry_space_group_name_Hall '-P 6 2'
_cell_length_a 7.8959
_cell_length_b 7.8959
_cell_length_c 3.7192
_cell_angle_alpha 90.00
_cell_angle_beta 90.00
_cell_angle_gamma 120.00
loop_
_atom_site_label
_atom_site_fract_x
_atom_site_fract_y
_atom_site_fract_z
Ho1 0.0000 0.0000 0.0000
Th1 0.3333 0.6667 0.0000
Al1 0.0000 0.3308 0.5000
```

Properties
* DOS(E_F): 3.89 states/eV/f.u.
* theoretical density: 6.54 Mg/m³
* energy relative to the elements: -0.44 eV/atom

***

[17]
Entry from Alexandria: crystalline HoThAl2 at its relaxed geometry (PBE).

CIF file:
```
data_HoThAl2
_symmetry_space_group_name_H-M 'P 4/m m m'
_symmetry_Int_Tables_number 123
_symmetry_space_group_name_Hall '-P 4 2'
_cell_length_a 4.8468
_cell_length_b 4.8468
_cell_length_c 4.2068
_cell_angle_alpha 90.00
_cell_angle_beta 90.00
_cell_angle_gamma 90.00
loop_
_atom_site_label
_atom_site_fract_x
_atom_site_fract_y
_atom_site_fract_z
Ho1 0.0000 0.0000 0.0000
Th1 0.5000 0.5000 0.0000
Al1 0.0000 0.5000 0.5000
```

Properties
* DOS(E_F): 3.35 states/eV/f.u.
* theoretical density: 7.58 Mg/m³
* energy relative to the elements: -0.28 eV/atom

***

[18]
Entry from Alexandria: crystalline HoThAl2 at its relaxed geometry (PBE).

CIF file:
```
data_HoThAl2
_symmetry_space_group_name_H-M 'R -3 m'
_symmetry_Int_Tables_number 166
_symmetry_space_group_name_Hall '-R 3 2"'
_cell_length_a 3.6054
_cell_length_b 3.6054
_cell_length_c 28.0301
_cell_angle_alpha 90.00
_cell_angle_beta 90.00
_cell_angle_gamma 120.00
loop_
_atom_site_label
_atom_site_fract_x
_atom_site_fract_y
_atom_site_fract_z
Ho1 0.0000 0.0000 0.0000
Th1 0.0000 0.0000 0.5000
Al1 0.0000 0.0000 0.2526
```

Properties
* DOS(E_F): 4.41 states/eV/f.u.
* theoretical density: 7.12 Mg/m³
* energy relative to the elements: -0.08 eV/atom

***

[19]
Entry from Alexandria: crystalline HoThAl at its relaxed geometry (PBE).

CIF file:
```
data_HoThAl
_symmetry_space_group_name_H-M 'P 4/n m m'
_symmetry_Int_Tables_number 129
_cell_length_a 4.7893
_cell_length_b 4.7893
_cell_length_c 7.5140
_cell_angle_alpha 90.00
_cell_angle_beta 90.00
_cell_angle_gamma 90.00
loop_
_symmetry_equiv_pos_as_xyz
'x,y,z'
'-x,-y,-z'
'-y+1/2,x,z'
'y+1/2,-x,-z'
'-x+1/2,-y+1/2,z'
'x+1/2,y+1/2,-z'
'y,-x+1/2,z'
'-y,x+1/2,-z'
'x+1/2,-y,-z'
'-x+1/2,y,z'
'-y,-x,-z'
'y,x,z'
'-x,y+1/2,-z'
'x,-y+1/2,z'
'y+1/2,x+1/2,-z'
'-y+1/2,-x+1/2,z'
loop_
_atom_site_label
_atom_site_fract_x
_atom_site_fract_y
_atom_site_fract_z
Ho1 0.2500 0.2500 0.2490
Th1 0.2500 0.2500 0.7768
Al1 0.2500 0.7500 0.5000
```

Properties
* DOS(E_F): 2.34 states/eV/f.u.
* theoretical density: 8.17 Mg/m³
* energy relative to the elements: 0.03 eV/atom

***

[20]
Entry from Alexandria: crystalline HoThAl6 at its relaxed geometry (PBE).

CIF file:
```
data_HoThAl6
_symmetry_space_group_name_H-M 'A m m 2'
_symmetry_Int_Tables_number 38
_cell_length_a 4.6454
_cell_length_b 6.3936
_cell_length_c 11.0557
_cell_angle_alpha 90.00
_cell_angle_beta 90.00
_cell_angle_gamma 90.00
loop_
_symmetry_equiv_pos_as_xyz
'x,y,z'
'-x,-y,z'
'-x,y,z'
'x,-y,z'
'x,y+1/2,z+1/2'
'-x,-y+1/2,z+1/2'
'-x,y+1/2,z+1/2'
'x,-y+1/2,z+1/2'
loop_
_atom_site_label
_atom_site_fract_x
_atom_site_fract_y
_atom_site_fract_z
Ho1 0.0000 0.0000 0.0000
Th1 0.5000 0.0000 0.3327
Al1 0.0000 0.0000 0.5243
Al2 0.0000 0.2124 0.7373
Al3 0.5000 0.0000 0.8118
Al4 0.5000 0.2173 0.5937
```

Properties
* DOS(E_F): 1.31 states/eV/f.u.
* theoretical density: 5.65 Mg/m³
* energy relative to the elements: -0.41 eV/atom